Record 1
ErBe2BOs | Alexandria | PBE | optimized geometry; energy = -6.250 eV per atom; SG = No. 44; spin magnetization = 0.00 μB/f.u.; V = 12.65 A^3/atom
1.0
-1.745 1.794 5.050
1.745 -1.794 5.050
1.745 1.794 -5.050
Er Be B Os
1 2 1 1
Direct
0.000 0.000 0.000
0.622 0.622 0.000
0.765 0.265 0.500
0.387 0.387 0.000
0.263 0.763 0.500



Record 2
Er2BeBPt6 | Alexandria | PBE | optimized geometry; energy = -6.523 eV per atom; SG = No. 107; spin magnetization = 0.00 μB/f.u.; V = 16.27 A^3/atom
1.0
-2.825 2.825 5.097
2.825 -2.825 5.097
2.825 2.825 -5.097
Er Be B Pt
2 1 1 6
Direct
0.000 0.500 0.500
0.500 0.000 0.500
0.138 0.138 0.000
0.636 0.636 0.000
0.433 0.433 0.000
0.490 0.490 0.506
0.490 0.984 0.000
0.929 0.929 0.000
0.984 0.490 0.000
0.984 0.984 0.494



Record 3
Er2BeB2Rh5 | Alexandria | PBE | optimized geometry; energy = -7.052 eV per atom; SG = No. 127; spin magnetization = 0.00 μB/f.u.; V = 13.66 A^3/atom
1.0
9.372 0.000 0.000
0.000 9.372 0.000
0.000 0.000 3.110
Er Be B Rh
4 2 4 10
Direct
0.176 0.324 0.000
0.324 0.824 0.000
0.676 0.176 0.000
0.824 0.676 0.000
0.000 0.000 0.000
0.500 0.500 0.000
0.125 0.625 0.000
0.375 0.125 0.000
0.625 0.875 0.000
0.875 0.375 0.000
0.000 0.500 0.500
0.068 0.788 0.500
0.212 0.068 0.500
0.288 0.568 0.500
0.432 0.288 0.500
0.500 0.000 0.500
0.568 0.712 0.500
0.712 0.432 0.500
0.788 0.932 0.500
0.932 0.212 0.500



Record 4
ErBe2BRu | Alexandria | PBE | optimized geometry; energy = -5.900 eV per atom; SG = No. 44; spin magnetization = 0.00 μB/f.u.; V = 12.58 A^3/atom
1.0
-1.746 1.791 5.026
1.746 -1.791 5.026
1.746 1.791 -5.026
Er Be B Ru
1 2 1 1
Direct
0.000 0.000 0.000
0.623 0.623 0.000
0.769 0.269 0.500
0.388 0.388 0.000
0.263 0.763 0.500